[1]
The following is a SCAN calculation of NbTlC2 at its PBEsol-relaxed geometry, from Alexandria via LeMat-Bulk.

```
NbTlC2
1.0
4.131 0.000 0.000
2.065 3.577 0.000
2.065 1.192 3.373
Nb C Tl
1 2 1
Cartesian
0.000 0.000 0.000
2.065 1.192 0.843
6.196 3.577 2.530
4.131 2.385 1.686
```

space group = Fm-3m, No. 225
E_tot = -117.65 eV for the cell shown
crystal system = cubic

[2]
The following is a SCAN calculation of UNbC2 at its PBEsol-relaxed geometry, from Alexandria via LeMat-Bulk.

```
UNbC2
1.0
5.882 0.017 0.010
4.986 3.121 0.010
4.986 1.440 2.770
C U Nb
2 1 1
Cartesian
3.858 1.114 0.679
11.996 3.464 2.111
0.000 0.000 0.000
7.927 2.289 1.395
```

space group = R-3m, No. 166
E_tot = -158.45 eV for the cell shown
crystal system = trigonal

[3]
The following is a SCAN calculation of NbWC2 at its PBEsol-relaxed geometry, from Alexandria via LeMat-Bulk.

```
NbWC2
1.0
-1.748 -1.966 3.938
-2.731 -2.838 -2.630
5.703 -0.849 -0.740
Nb C W
2 4 2
Cartesian
0.857 -2.609 1.926
-2.240 -2.402 0.654
3.762 -1.191 -0.348
-1.157 -3.030 2.339
-1.590 -3.401 -1.075
1.432 -3.687 0.219
0.000 0.000 0.000
0.366 -3.045 -1.358
```

space group = I-42d, No. 122
E_tot = -243.73 eV for the cell shown
crystal system = tetragonal

[4]
The following is a SCAN calculation of NbZn3C at its PBEsol-relaxed geometry, from Alexandria via LeMat-Bulk.

```
NbZn3C
1.0
4.986 0.000 0.000
0.000 4.986 0.000
0.000 0.000 4.986
C Zn Nb
1 3 1
Cartesian
2.493 2.493 2.493
0.000 2.493 0.000
0.000 0.000 2.493
2.493 0.000 0.000
0.000 0.000 0.000
```

space group = Pm-3m, No. 221
E_tot = -71.83 eV for the cell shown
crystal system = cubic

Which value of E_tot does entry 4 give? -71.83 eV for the cell shown